Entry 1:
# GGA-PBE CaCd2In2Au2, optimized geometry
data_CaCd2In2Au2
_cell_length_a 8.869
_cell_length_b 8.869
_cell_length_c 8.869
_cell_angle_alpha 31.42
_cell_angle_beta 31.42
_cell_angle_gamma 31.42
_space_group_name_H-M_alt 'P 1'
_space_group_IT_number 1
loop_
_space_group_symop_operation_xyz
'x,y,z'
loop_
_atom_site_label
_atom_site_type_symbol
_atom_site_fract_x
_atom_site_fract_y
_atom_site_fract_z
Ca1 Ca 0.000 0.000 0.000
Cd1 Cd 0.135 0.135 0.135
Cd2 Cd 0.865 0.865 0.865
In1 In 0.256 0.256 0.256
In2 In 0.744 0.744 0.744
Au1 Au 0.398 0.398 0.398
Au2 Au 0.602 0.602 0.602
# DOS at the Fermi energy ... 3.27 states/eV per cell
# E ... -18.2 eV/cell
# E_form ... -0.328 eV/atom
# SG ... R-3m (166)
# Crystal system ... trigonal
# ρ ... 8.77 g/cm3

Entry 2:
# GGA-PBE ZrSb2Au, optimized geometry
data_ZrSb2Au
_cell_length_a 3.946
_cell_length_b 3.946
_cell_length_c 5.954
_cell_angle_alpha 90.00
_cell_angle_beta 90.00
_cell_angle_gamma 90.00
_space_group_name_H-M_alt 'P 1'
_space_group_IT_number 1
loop_
_space_group_symop_operation_xyz
'x,y,z'
loop_
_atom_site_label
_atom_site_type_symbol
_atom_site_fract_x
_atom_site_fract_y
_atom_site_fract_z
Zr1 Zr 0.000 0.000 0.000
Sb1 Sb 0.000 0.000 0.480
Sb2 Sb 0.500 0.500 0.831
Au1 Au 0.500 0.500 0.308
# DOS at the Fermi energy ... 2.21 states/eV per cell
# E ... -21.5 eV/cell
# SG ... P4mm (99)
# Raw formation energy ... -0.36 eV per atom
# Crystal system ... tetragonal
# ρ ... 9.53 g/cm3

Entry 3:
# GGA-PBE Si2TcNi, optimized geometry
data_Si2TcNi
_cell_length_a 7.814
_cell_length_b 2.856
_cell_length_c 4.684
_cell_angle_alpha 90.00
_cell_angle_beta 102.67
_cell_angle_gamma 90.00
_space_group_name_H-M_alt 'P 1'
_space_group_IT_number 1
loop_
_space_group_symop_operation_xyz
'x,y,z'
loop_
_atom_site_label
_atom_site_type_symbol
_atom_site_fract_x
_atom_site_fract_y
_atom_site_fract_z
Si1 Si 0.249 0.000 0.246
Si2 Si 0.251 0.500 0.754
Si3 Si 0.749 0.500 0.246
Si4 Si 0.751 0.000 0.754
Tc1 Tc 0.000 0.000 0.500
Tc2 Tc 0.500 0.500 0.500
Ni1 Ni 0.000 0.500 0.000
Ni2 Ni 0.500 0.000 0.000
# DOS at the Fermi energy ... 4.62 states/eV per cell
# E ... -56.0 eV/cell
# SG ... C2/m (12)
# Raw formation energy ... -0.25 eV per atom
# Crystal system ... monoclinic
# ρ ... 6.93 g/cm3

Entry 4:
# GGA-PBE ZrCrCl2, optimized geometry
data_ZrCrCl2
_cell_length_a 3.127
_cell_length_b 4.288
_cell_length_c 5.724
_cell_angle_alpha 90.00
_cell_angle_beta 90.00
_cell_angle_gamma 90.00
_space_group_name_H-M_alt 'P 1'
_space_group_IT_number 1
loop_
_space_group_symop_operation_xyz
'x,y,z'
loop_
_atom_site_label
_atom_site_type_symbol
_atom_site_fract_x
_atom_site_fract_y
_atom_site_fract_z
Zr1 Zr 0.000 0.000 0.000
Cr1 Cr 0.500 0.000 0.500
Cl1 Cl 0.000 0.500 0.500
Cl2 Cl 0.500 0.500 0.000
# DOS at the Fermi energy ... 2.47 states/eV per cell
# Energy relative to the lowest polymorph listed for this composition ... 427 meV/atom
# E ... -22.9 eV/cell
# SG ... Pmmm (47)
# Raw formation energy ... -0.26 eV per atom
# Crystal system ... orthorhombic
# ρ ... 4.63 g/cm3

- Number 4 is which compound?
  ZrCrCl2

- Number 2 is which compound?
  ZrSb2Au